## BaNiPb2F8 (PBE+U)

Data for a geometry-optimized BaNiPb2F8 structure.

The space group is P2/m (No. 10) and the conventional cell measures 4.4290, 8.0185 and 5.6847 Å, with angles of 90.00, 95.83 and 90.00 degrees. The inequivalent atoms are Ba at (0.0000, 0.0000, 0.0000), Ni at (0.0000, 0.5000, 0.0000), Pb at (0.5000, 0.2728, 0.5000), F at (0.0620, 0.2960, 0.7683), F at (0.3974, 0.5000, 0.2151) and F at (0.4791, 0.0000, 0.7403).

The calculation puts the total energy at -4.88 eV/atom.